# 1
Density functional theory data (PBE-GGA) for a geometry-optimized Be2TlPtN structure.

abc: 4.5944 4.5944 4.2172
angles: 90.00 90.00 90.00
Closest atoms and distances in Å follow each position.
Fractional positions:
Be 0.0000 0.5000 0.0000  2 Tl 2.30
Be 0.5000 0.0000 0.0000  2 Tl 2.30
Tl 0.0000 0.0000 0.0000  2 N 2.11, 4 Be 2.30
Pt 0.5000 0.5000 0.5000  8 Be 3.12, 4 N 3.25
N 0.0000 0.0000 0.5000  2 Tl 2.11

Calculated values
**Total moment**: 1.7 μB per cell
**Energy relative to the elements, uncorrected**: 2.000 eV per atom
**Space-group type**: P4/mmm, No. 123
**Crystal system**: tetragonal
**Mass density**: 8.049 Mg/m³

=====

# 2
Density functional theory data (PBE-GGA) for a geometry-optimized Zr2BePtN structure.

abc: 4.6264 4.6264 3.3966
angles: 90.00 90.00 90.00
Closest atoms and distances in Å follow each position.
Fractional positions:
Zr 0.0000 0.5000 0.0000  2 N 2.31
Zr 0.5000 0.0000 0.0000  2 N 2.31
Be 0.0000 0.0000 0.5000  2 N 1.70
Pt 0.5000 0.5000 0.5000  8 Zr 2.87
N 0.0000 0.0000 0.0000  2 Be 1.70

Calculated values
**Total moment**: 0.0 μB per cell
**Energy relative to the elements, uncorrected**: -1.003 eV per atom
**Space-group type**: P4/mmm, No. 123
**Crystal system**: tetragonal
**Mass density**: 9.149 Mg/m³

=====

# 3
Density functional theory data (PBE-GGA) for a geometry-optimized PuBeN structure.

abc: 10.4623 10.4623 10.4623
angles: 16.76 16.76 16.76
Closest atoms and distances in Å follow each position.
Fractional positions:
Pu 0.0000 0.0000 0.0000  3 N 2.31
Pu 0.2342 0.2342 0.2342  3 N 2.35
Be 0.1042 0.1042 0.1042  3 N 1.83
Be 0.4847 0.4847 0.4847  3 N 2.01
N 0.6181 0.6181 0.6181  6 Pu 2.31-2.35
N 0.7868 0.7868 0.7868  6 Be 1.83-2.01

Calculated values
**Total moment**: 0.9 μB per cell
**Energy relative to the elements, uncorrected**: -0.264 eV per atom
**Space-group type**: R3m, No. 160
**Crystal system**: trigonal
**Mass density**: 10.680 Mg/m³

=====

# 4
Density functional theory data (PBE-GGA) for a geometry-optimized PuBeN2 structure.

abc: 5.5641 5.5641 5.5641
angles: 37.71 37.71 37.71
Closest atoms and distances in Å follow each position.
Fractional positions:
Pu 0.0000 0.0000 0.0000  6 N 2.33
Be 0.5000 0.5000 0.5000  2 N 1.54
N 0.4009 0.4009 0.4009  1 Be 1.54
N 0.5991 0.5991 0.5991  1 Be 1.54

Calculated values
**Total moment**: 4.0 μB per cell
**Energy relative to the elements, uncorrected**: -0.938 eV per atom
**Space-group type**: R-3m, No. 166
**Crystal system**: trigonal
**Mass density**: 8.070 Mg/m³

=====

# 5
Density functional theory data (PBE-GGA) for a geometry-optimized Pu2BeN structure.

abc: 9.0280 9.0280 9.0280
angles: 20.55 20.55 20.55
Closest atoms and distances in Å follow each position.
Fractional positions:
Pu 0.1107 0.1107 0.1107  3 N 2.38
Pu 0.8893 0.8893 0.8893  3 N 2.38
Be 0.0000 0.0000 0.0000  2 Pu 2.93, 6 Be 3.22
N 0.5000 0.5000 0.5000  6 Pu 2.38

Calculated values
**Total moment**: 11.3 μB per cell
**Energy relative to the elements, uncorrected**: 0.071 eV per atom
**Space-group type**: R-3m, No. 166
**Crystal system**: trigonal
**Mass density**: 10.695 Mg/m³

=====

# 6
Density functional theory data (PBE-GGA) for a geometry-optimized PuBeRuN structure.

abc: 3.6269 3.6269 8.2292
angles: 90.00 90.00 90.00
Closest atoms and distances in Å follow each position.
Fractional positions:
Pu 0.2500 0.2500 0.1564  1 N 2.27
Pu 0.7500 0.7500 0.8436  1 N 2.27
Be 0.2500 0.2500 0.6842  1 N 1.61
Be 0.7500 0.7500 0.3158  1 N 1.61
Ru 0.2500 0.7500 0.5000  4 Be 2.36, 4 Ru 2.56
Ru 0.7500 0.2500 0.5000  4 Be 2.36, 4 Ru 2.56
N 0.2500 0.2500 0.8803  1 Be 1.61
N 0.7500 0.7500 0.1197  1 Be 1.61

Calculated values
**Total moment**: 9.4 μB per cell
**Energy relative to the elements, uncorrected**: -0.676 eV per atom
**Space-group type**: P4/nmm, No. 129
**Crystal system**: tetragonal
**Mass density**: 11.293 Mg/m³

=====

# 7
Density functional theory data (PBE-GGA) for a geometry-optimized SrPuBeN3 structure.

abc: 7.1395 3.3937 7.2973
angles: 90.00 104.13 90.00
Closest atoms and distances in Å follow each position.
Fractional positions:
Sr 0.2335 0.2500 0.1911  7 N 2.71-2.85, 3 Be 2.94-3.02
Sr 0.7665 0.7500 0.8089  7 N 2.71-2.85, 3 Be 2.94-3.02
Pu 0.1712 0.2500 0.6709  6 N 2.21-2.29
Pu 0.8288 0.7500 0.3291  6 N 2.21-2.29
Be 0.4018 0.7500 0.9288  2 N 1.69-1.70
Be 0.5982 0.2500 0.0712  2 N 1.69-1.70
N 0.1438 0.7500 0.4550  3 Pu 2.21-2.29
N 0.1556 0.7500 0.8670  1 Be 1.70
N 0.4747 0.2500 0.8414  1 Be 1.69
N 0.5253 0.7500 0.1586  1 Be 1.69
N 0.8444 0.2500 0.1330  1 Be 1.70
N 0.8562 0.2500 0.5450  3 Pu 2.21-2.29

Calculated values
**Total moment**: 6.0 μB per cell
**Energy relative to the elements, uncorrected**: -1.006 eV per atom
**Space-group type**: P2_1/m, No. 11
**Crystal system**: monoclinic
**Mass density**: 7.412 Mg/m³

=====

# 8
Density functional theory data (PBE-GGA) for a geometry-optimized PuTa2BeN4 structure.

abc: 5.5744 5.5744 10.4468
angles: 90.00 90.00 147.29
Closest atoms and distances in Å follow each position.
Fractional positions:
Pu 0.0946 0.9054 0.7500  8 N 2.50-2.80
Pu 0.9054 0.0946 0.2500  8 N 2.50-2.80
Ta 0.3741 0.6259 0.5492  6 N 2.09-2.26
Ta 0.3741 0.6259 0.9508  6 N 2.09-2.26
Ta 0.6259 0.3741 0.0492  6 N 2.09-2.26
Ta 0.6259 0.3741 0.4508  6 N 2.09-2.26
Be 0.1772 0.8228 0.2500  4 N 1.68-1.84
Be 0.8228 0.1772 0.7500  4 N 1.68-1.84
N 0.0000 0.0000 0.0000  4 Ta 2.13
N 0.0000 0.0000 0.5000  4 Ta 2.13
N 0.2635 0.7365 0.1154  1 Be 1.68
N 0.2635 0.7365 0.3846  1 Be 1.68
N 0.4122 0.5878 0.7500  2 Be 1.84
N 0.5878 0.4122 0.2500  2 Be 1.84
N 0.7365 0.2635 0.6154  1 Be 1.68
N 0.7365 0.2635 0.8846  1 Be 1.68

Calculated values
**Total moment**: 10.4 μB per cell
**Energy relative to the elements, uncorrected**: -1.133 eV per atom
**Space-group type**: Cmcm, No. 63
**Crystal system**: orthorhombic
**Mass density**: 12.701 Mg/m³

=====

# 9
Density functional theory data (PBE-GGA) for a geometry-optimized Pu2TaBeN5 structure.

abc: 6.6924 6.6924 9.8256
angles: 90.00 90.00 152.57
Closest atoms and distances in Å follow each position.
Fractional positions:
Pu 0.1167 0.8833 0.5000  8 N 2.38-2.54
Pu 0.1289 0.8711 0.1201  7 N 2.27-2.52
Pu 0.8711 0.1289 0.6201  7 N 2.27-2.52
Pu 0.8833 0.1167 0.0000  8 N 2.38-2.54
Ta 0.1949 0.8051 0.8163  6 N 2.06-2.13
Ta 0.8051 0.1949 0.3163  6 N 2.06-2.13
Be 0.4989 0.5011 0.7890  4 N 1.74-1.89
Be 0.5011 0.4989 0.2890  4 N 1.74-1.89
N 0.0374 0.9626 0.8404  2 Be 1.74
N 0.2975 0.7025 0.4609  2 Ta 2.13, 1 Pu 2.38
N 0.3051 0.6949 0.1710  2 Ta 2.13, 1 Pu 2.34
N 0.3583 0.6417 0.8180  1 Be 1.85
N 0.4943 0.5057 0.5970  1 Be 1.89
N 0.5057 0.4943 0.0970  1 Be 1.89
N 0.6417 0.3583 0.3180  1 Be 1.85
N 0.6949 0.3051 0.6710  2 Ta 2.13, 1 Pu 2.34
N 0.7025 0.2975 0.9609  2 Ta 2.13, 1 Pu 2.38
N 0.9626 0.0374 0.3404  2 Be 1.74

Calculated values
**Total moment**: 15.6 μB per cell
**Energy relative to the elements, uncorrected**: -1.039 eV per atom
**Space-group type**: Cmc2_1, No. 36
**Crystal system**: orthorhombic
**Mass density**: 12.255 Mg/m³

=====

# 10
Density functional theory data (PBE-GGA) for a geometry-optimized TbPuBeN3 structure.

abc: 6.8045 3.2938 7.0457
angles: 90.00 98.40 90.00
Closest atoms and distances in Å follow each position.
Fractional positions:
Tb 0.2071 0.2500 0.1648  7 N 2.42-2.59
Tb 0.7929 0.7500 0.8352  7 N 2.42-2.59
Pu 0.1864 0.2500 0.6537  6 N 2.23-2.36
Pu 0.8136 0.7500 0.3463  6 N 2.23-2.36
Be 0.4066 0.7500 0.9227  4 N 1.70-1.89
Be 0.5934 0.2500 0.0773  4 N 1.70-1.89
N 0.1441 0.7500 0.4107  3 Pu 2.23-2.36, 2 Tb 2.47
N 0.1523 0.7500 0.8818  1 Be 1.71
N 0.4991 0.2500 0.8399  3 Be 1.70-1.89
N 0.5009 0.7500 0.1601  3 Be 1.70-1.89
N 0.8477 0.2500 0.1182  1 Be 1.71
N 0.8559 0.2500 0.5893  3 Pu 2.23-2.36, 2 Tb 2.47

Calculated values
**Total moment**: 8.0 μB per cell
**Energy relative to the elements, uncorrected**: -1.216 eV per atom
**Space-group type**: P2_1/m, No. 11
**Crystal system**: monoclinic
**Mass density**: 9.651 Mg/m³

=====

# 11
Density functional theory data (PBE-GGA) for a geometry-optimized Pu2BeTcN5 structure.

abc: 6.6190 6.6190 9.3958
angles: 90.00 90.00 152.05
Closest atoms and distances in Å follow each position.
Fractional positions:
Pu 0.1149 0.8851 0.5000  8 N 2.36-2.48
Pu 0.1339 0.8661 0.1148  7 N 2.30-2.49
Pu 0.8661 0.1339 0.6148  7 N 2.30-2.49
Pu 0.8851 0.1149 0.0000  8 N 2.36-2.48
Be 0.4963 0.5037 0.2891  4 N 1.75-1.86
Be 0.5037 0.4963 0.7891  4 N 1.75-1.86
Tc 0.1999 0.8001 0.8166  6 N 2.06-2.12
Tc 0.8001 0.1999 0.3166  6 N 2.06-2.12
N 0.0396 0.9604 0.8481  2 Be 1.75
N 0.2986 0.7014 0.4649  2 Tc 2.12, 2 Pu 2.30
N 0.3078 0.6922 0.1722  2 Tc 2.10, 1 Pu 2.30
N 0.3605 0.6395 0.8184  1 Be 1.86, 1 Tc 2.06
N 0.4962 0.5038 0.6008  1 Be 1.77
N 0.5038 0.4962 0.1008  1 Be 1.77
N 0.6395 0.3605 0.3184  1 Be 1.86, 1 Tc 2.06
N 0.6922 0.3078 0.6722  2 Tc 2.10, 1 Pu 2.30
N 0.7014 0.2986 0.9649  2 Tc 2.12, 2 Pu 2.30
N 0.9604 0.0396 0.3481  2 Be 1.75

Calculated values
**Total moment**: 0.6 μB per cell
**Energy relative to the elements, uncorrected**: -0.670 eV per atom
**Space-group type**: Cmc2_1, No. 36
**Crystal system**: orthorhombic
**Mass density**: 11.449 Mg/m³